1.
CaAcSmTm | GGA-PBE | relaxed

Geometry as CIF:
```
data_CaAcSmTm
_chemical_formula_sum 'Ca4 Ac4 Sm4 Tm4'
_cell_length_a 8.396
_cell_length_b 8.396
_cell_length_c 8.396
_cell_angle_alpha 90.00
_cell_angle_beta 90.00
_cell_angle_gamma 90.00
_symmetry_space_group_name_H-M 'F -4 3 m'
_symmetry_Int_Tables_number 216
_symmetry_space_group_name_Hall 'F -4 2 3'
loop_
_atom_site_label
_atom_site_type_symbol
_atom_site_fract_x
_atom_site_fract_y
_atom_site_fract_z
Ca1 Ca 0.000 0.000 0.000
Ac1 Ac 0.250 0.250 0.750
Sm1 Sm 0.250 0.250 0.250
Tm1 Tm 0.000 0.000 0.500
```

Values from the calculation:
D(E_F) = 6.14 states/eV/f.u.
Spin magnetization = 0.00 Bohr magnetons per cell
Formation enthalpy at 0 K = 113 meV/atom

2.
CaAcSmZn | GGA-PBE | relaxed

Geometry as CIF:
```
data_CaAcSmZn
_chemical_formula_sum 'Ca1 Ac1 Sm1 Zn1'
_cell_length_a 3.721
_cell_length_b 3.721
_cell_length_c 9.529
_cell_angle_alpha 90.00
_cell_angle_beta 90.00
_cell_angle_gamma 90.00
_symmetry_space_group_name_H-M 'P 4 m m'
_symmetry_Int_Tables_number 99
loop_
_symmetry_equiv_pos_as_xyz
'x,y,z'
'-y,x,z'
'-x,-y,z'
'y,-x,z'
'-x,y,z'
'y,x,z'
'x,-y,z'
'-y,-x,z'
loop_
_atom_site_label
_atom_site_type_symbol
_atom_site_fract_x
_atom_site_fract_y
_atom_site_fract_z
Ca1 Ca 0.000 0.000 0.000
Ac1 Ac 0.500 0.500 0.331
Sm1 Sm 0.000 0.000 0.622
Zn1 Zn 0.500 0.500 0.802
```

Values from the calculation:
D(E_F) = 5.10 states/eV/f.u.
Spin magnetization = 0.00 Bohr magnetons per cell
Formation enthalpy at 0 K = -112 meV/atom

3.
CaAc2Sn | GGA-PBE | relaxed

Geometry as CIF:
```
data_CaAc2Sn
_chemical_formula_sum 'Ca1 Ac2 Sn1'
_cell_length_a 4.455
_cell_length_b 4.455
_cell_length_c 7.549
_cell_angle_alpha 90.00
_cell_angle_beta 90.00
_cell_angle_gamma 90.00
_symmetry_space_group_name_H-M 'P 4/m m m'
_symmetry_Int_Tables_number 123
_symmetry_space_group_name_Hall '-P 4 2'
loop_
_atom_site_label
_atom_site_type_symbol
_atom_site_fract_x
_atom_site_fract_y
_atom_site_fract_z
Ca1 Ca 0.000 0.000 0.000
Ac1 Ac 0.500 0.500 0.276
Sn1 Sn 0.000 0.000 0.500
```

Values from the calculation:
D(E_F) = 3.63 states/eV/f.u.
E above lowest polymorph = 0.028 eV/atom
Spin magnetization = 0.00 Bohr magnetons per cell
Formation enthalpy at 0 K = -317 meV/atom

4.
CaAcSn4 | GGA-PBE | relaxed

Geometry as CIF:
```
data_CaAcSn4
_chemical_formula_sum 'Ca1 Ac1 Sn4'
_cell_length_a 5.152
_cell_length_b 6.509
_cell_length_c 6.965
_cell_angle_alpha 94.63
_cell_angle_beta 111.08
_cell_angle_gamma 113.29
_symmetry_space_group_name_H-M 'P -1'
_symmetry_Int_Tables_number 2
loop_
_symmetry_equiv_pos_as_xyz
'x,y,z'
'-x,-y,-z'
loop_
_atom_site_label
_atom_site_type_symbol
_atom_site_fract_x
_atom_site_fract_y
_atom_site_fract_z
Ca1 Ca 0.000 0.000 0.000
Ac1 Ac 0.000 0.500 0.500
Sn1 Sn 0.315 0.120 0.510
Sn2 Sn 0.341 0.643 0.038
```

Values from the calculation:
D(E_F) = 2.50 states/eV/f.u.
E above lowest polymorph = 0.068 eV/atom
Spin magnetization = 0.00 Bohr magnetons per cell
Formation enthalpy at 0 K = -432 meV/atom

5.
CaAcSn4 | GGA-PBE | relaxed

Geometry as CIF:
```
data_CaAcSn4
_chemical_formula_sum 'Ca4 Ac4 Sn16'
_cell_length_a 8.976
_cell_length_b 8.976
_cell_length_c 8.976
_cell_angle_alpha 90.00
_cell_angle_beta 90.00
_cell_angle_gamma 90.00
_symmetry_space_group_name_H-M 'F -4 3 m'
_symmetry_Int_Tables_number 216
_symmetry_space_group_name_Hall 'F -4 2 3'
loop_
_atom_site_label
_atom_site_type_symbol
_atom_site_fract_x
_atom_site_fract_y
_atom_site_fract_z
Ca1 Ca 0.000 0.000 0.000
Ac1 Ac 0.250 0.250 0.750
Sn1 Sn 0.125 0.125 0.375
```

Values from the calculation:
D(E_F) = 5.48 states/eV/f.u.
E above lowest polymorph = 0.088 eV/atom
Spin magnetization = 0.00 Bohr magnetons per cell
Formation enthalpy at 0 K = -412 meV/atom

6.
CaAcSn3 | GGA-PBE | relaxed

Geometry as CIF:
```
data_CaAcSn3
_chemical_formula_sum 'Ca4 Ac4 Sn12'
_cell_length_a 4.663
_cell_length_b 30.756
_cell_length_c 4.495
_cell_angle_alpha 90.00
_cell_angle_beta 90.00
_cell_angle_gamma 90.00
_symmetry_space_group_name_H-M 'C m c m'
_symmetry_Int_Tables_number 63
_symmetry_space_group_name_Hall '-C 2c 2'
loop_
_atom_site_label
_atom_site_type_symbol
_atom_site_fract_x
_atom_site_fract_y
_atom_site_fract_z
Ca1 Ca 0.000 0.205 0.250
Ac1 Ac 0.000 0.079 0.750
Sn1 Sn 0.000 0.311 0.250
Sn2 Sn 0.000 0.372 0.750
Sn3 Sn 0.000 0.470 0.750
```

Values from the calculation:
D(E_F) = 2.06 states/eV/f.u.
Spin magnetization = 0.00 Bohr magnetons per cell
Formation enthalpy at 0 K = -566 meV/atom